Record 1
# TaNi2Mo2, optimized geometry, DFT GGA-PBE
# - ΔE_f (eV per atom) = 0.0733
data_TaNi2Mo2
_chemical_formula_sum 'Ta2 Ni4 Mo4'
_space_group_name_H-M_alt 'P 4/m b m'
_space_group_IT_number 127
_space_group_name_Hall '-P 4 2ab'
_cell_length_a 6.5292
_cell_length_b 6.5292
_cell_length_c 3.3953
_cell_angle_alpha 90.00
_cell_angle_beta 90.00
_cell_angle_gamma 90.00
loop_
_atom_site_label
_atom_site_type_symbol
_atom_site_fract_x
_atom_site_fract_y
_atom_site_fract_z
Ta1 Ta 0.0000 0.0000 0.0000
Ni1 Ni 0.1253 0.3747 0.0000
Mo1 Mo 0.1695 0.6695 0.5000



Record 2
# RuAu5, optimized geometry, DFT GGA-PBE
# - ΔE_f (eV per atom) = 0.2216
data_RuAu5
_chemical_formula_sum 'Ru2 Au10'
_space_group_name_H-M_alt 'C 1 m 1'
_space_group_IT_number 8
_cell_length_a 11.1494
_cell_length_b 2.8311
_cell_length_c 6.8944
_cell_angle_alpha 90.00
_cell_angle_beta 106.31
_cell_angle_gamma 90.00
loop_
_space_group_symop_operation_xyz
'x,y,z'
'x,-y,z'
'x+1/2,y+1/2,z'
'x+1/2,-y+1/2,z'
loop_
_atom_site_label
_atom_site_type_symbol
_atom_site_fract_x
_atom_site_fract_y
_atom_site_fract_z
Ru1 Ru 0.0000 0.0000 0.0000
Au1 Au 0.1113 0.5000 0.7392
Au2 Au 0.1635 0.5000 0.3239
Au3 Au 0.2886 0.0000 0.0610
Au4 Au 0.3342 0.0000 0.6704
Au5 Au 0.4496 0.5000 0.3950



Record 3
# Y8Er2Zr, optimized geometry, DFT GGA-PBE
# - ΔE_f (eV per atom) = 0.0519
data_Y8Er2Zr
_chemical_formula_sum 'Y16 Er4 Zr2'
_space_group_name_H-M_alt 'C 1 2/m 1'
_space_group_IT_number 12
_cell_length_a 17.9616
_cell_length_b 4.9710
_cell_length_c 7.8913
_cell_angle_alpha 90.00
_cell_angle_beta 105.31
_cell_angle_gamma 90.00
loop_
_space_group_symop_operation_xyz
'x,y,z'
'-x,-y,-z'
'-x,y,-z'
'x,-y,z'
'x+1/2,y+1/2,z'
'-x+1/2,-y+1/2,-z'
'-x+1/2,y+1/2,-z'
'x+1/2,-y+1/2,z'
loop_
_atom_site_label
_atom_site_type_symbol
_atom_site_fract_x
_atom_site_fract_y
_atom_site_fract_z
Y1 Y 0.0447 0.0000 0.2374
Y2 Y 0.0897 0.5000 0.9440
Y3 Y 0.1322 0.0000 0.6767
Y4 Y 0.1790 0.5000 0.4109
Er1 Er 0.2263 0.0000 0.1335
Zr1 Zr 0.0000 0.5000 0.5000



Record 4
# ZnWCl6, optimized geometry, DFT GGA-PBE
# - energy relative to the elements, uncorrected (kJ/mol of atoms) = -76.2
data_ZnWCl6
_chemical_formula_sum 'Zn3 W3 Cl18'
_space_group_name_H-M_alt 'R -3'
_space_group_IT_number 148
_space_group_name_Hall '-R 3'
_cell_length_a 6.2018
_cell_length_b 6.2018
_cell_length_c 16.6807
_cell_angle_alpha 90.00
_cell_angle_beta 90.00
_cell_angle_gamma 120.00
loop_
_atom_site_label
_atom_site_type_symbol
_atom_site_fract_x
_atom_site_fract_y
_atom_site_fract_z
Zn1 Zn 0.0000 0.0000 0.0000
W1 W 0.0000 0.0000 0.5000
Cl1 Cl 0.0099 0.3209 0.5821



Record 5
# ScTaAlBr2, optimized geometry, DFT GGA-PBE
# - energy relative to the elements, uncorrected (kJ/mol of atoms) = 45.9
data_ScTaAlBr2
_chemical_formula_sum 'Sc1 Ta1 Al1 Br2'
_space_group_name_H-M_alt 'P 4/m m m'
_space_group_IT_number 123
_space_group_name_Hall '-P 4 2'
_cell_length_a 4.9802
_cell_length_b 4.9802
_cell_length_c 5.4636
_cell_angle_alpha 90.00
_cell_angle_beta 90.00
_cell_angle_gamma 90.00
loop_
_atom_site_label
_atom_site_type_symbol
_atom_site_fract_x
_atom_site_fract_y
_atom_site_fract_z
Sc1 Sc 0.0000 0.0000 0.0000
Ta1 Ta 0.5000 0.5000 0.5000
Al1 Al 0.5000 0.5000 0.0000
Br1 Br 0.0000 0.5000 0.5000



Record 6
# PmF5, optimized geometry, DFT GGA-PBE
# - energy relative to the elements, uncorrected (kJ/mol of atoms) = -236.9
data_PmF5
_chemical_formula_sum 'Pm2 F10'
_space_group_name_H-M_alt 'C m m m'
_space_group_IT_number 65
_space_group_name_Hall '-C 2 2'
_cell_length_a 4.1263
_cell_length_b 7.7100
_cell_length_c 4.4984
_cell_angle_alpha 90.00
_cell_angle_beta 90.00
_cell_angle_gamma 90.00
loop_
_atom_site_label
_atom_site_type_symbol
_atom_site_fract_x
_atom_site_fract_y
_atom_site_fract_z
Pm1 Pm 0.0000 0.0000 0.0000
F1 F 0.0000 0.1437 0.5000
F2 F 0.0000 0.3371 0.0000
F3 F 0.0000 0.5000 0.5000



Record 7
# Fe2MoAs, optimized geometry, DFT GGA-PBE
# - ΔE_f (eV per atom) = 0.0913
data_Fe2MoAs
_chemical_formula_sum 'Fe8 Mo4 As4'
_space_group_name_H-M_alt 'F -4 3 m'
_space_group_IT_number 216
_space_group_name_Hall 'F -4 2 3'
_cell_length_a 5.9755
_cell_length_b 5.9755
_cell_length_c 5.9755
_cell_angle_alpha 90.00
_cell_angle_beta 90.00
_cell_angle_gamma 90.00
loop_
_atom_site_label
_atom_site_type_symbol
_atom_site_fract_x
_atom_site_fract_y
_atom_site_fract_z
Fe1 Fe 0.0000 0.0000 0.0000
Fe2 Fe 0.2500 0.2500 0.2500
Mo1 Mo 0.0000 0.0000 0.5000
As1 As 0.2500 0.2500 0.7500



Record 8
# Ca4AsSe2Br, optimized geometry, DFT GGA-PBE
# - energy relative to the elements, uncorrected (kJ/mol of atoms) = -171.7
data_Ca4AsSe2Br
_chemical_formula_sum 'Ca16 As4 Se8 Br4'
_space_group_name_H-M_alt 'F m m 2'
_space_group_IT_number 42
_space_group_name_Hall 'F 2 -2'
_cell_length_a 8.4486
_cell_length_b 12.1977
_cell_length_c 8.4470
_cell_angle_alpha 90.00
_cell_angle_beta 90.00
_cell_angle_gamma 90.00
loop_
_atom_site_label
_atom_site_type_symbol
_atom_site_fract_x
_atom_site_fract_y
_atom_site_fract_z
Ca1 Ca 0.0000 0.2326 0.0000
Ca2 Ca 0.2501 0.0000 0.2494
As1 As 0.0000 0.0000 0.9995
Se1 Se 0.2500 0.2500 0.2501
Br1 Br 0.0000 0.0000 0.4991



DFT total energy per entry: -8.942; -4.056; -6.256; -3.954; -4.579; -4.807; -8.010; -4.442 eV per atom